Compound: K3VB
Source: the Alexandria database
Functional: PBE-GGA
Structure: relaxed

Structure (POSCAR):
```
K3VB
1.0
6.497 0.000 0.000
0.000 6.497 0.000
0.000 0.000 6.497
K B V
3 1 1
Direct
0.000 0.500 0.000 K
0.000 0.000 0.500 K
0.500 0.000 0.000 K
0.500 0.500 0.500 B
0.000 0.000 0.000 V
```

## Properties
DOS at the Fermi energy = 9.327 states/eV/f.u.
Raw total energy = -9.97 eV per cell
SG = Pm-3m (221)

=====

Compound: KV2BW
Source: the Alexandria database
Functional: PBE-GGA
Structure: relaxed

Structure (POSCAR):
```
KV2BW
1.0
4.890 0.000 0.000
0.000 4.420 0.000
0.000 0.000 4.890
K B W V
1 1 1 2
Direct
0.500 0.500 0.500 K
0.000 0.500 0.000 B
0.000 0.000 0.000 W
0.000 0.000 0.500 V
0.500 0.000 0.000 V
```

## Properties
DOS at the Fermi energy = 6.450 states/eV/f.u.
Raw total energy = -31.62 eV per cell
SG = P4/mmm (123)

=====

Compound: K2BW
Source: the Alexandria database
Functional: PBE-GGA
Structure: relaxed

Structure (POSCAR):
```
K2BW
1.0
-2.530 1.559 11.912
4.515 -11.157 2.419
2.934 -3.948 7.466
K B W
4 2 2
Direct
0.416 0.125 0.250 K
0.334 0.625 0.250 K
0.375 0.584 0.750 K
0.875 0.666 0.750 K
0.500 0.500 0.000 B
0.250 0.750 0.500 B
0.000 0.000 0.000 W
0.750 0.250 0.500 W
```

## Properties
DOS at the Fermi energy = 1.777 states/eV/f.u.
Raw total energy = -32.68 eV per cell
SG = I-42d (122)

=====

Compound: K3BW
Source: the Alexandria database
Functional: PBE-GGA
Structure: relaxed

Structure (POSCAR):
```
K3BW
1.0
-0.286 2.095 5.671
-0.486 -5.666 2.069
6.026 -0.357 0.436
K B W
3 1 1
Direct
0.000 0.500 0.000 K
0.000 0.000 0.500 K
0.500 0.000 0.000 K
0.000 0.000 0.000 B
0.500 0.500 0.500 W
```

## Properties
DOS at the Fermi energy = 0.725 states/eV/f.u.
Relative energy among the computed polymorphs = 0 meV per atom
Raw total energy = -12.93 eV per cell
SG = Pm-3m (221)

=====

Compound: KYBW2
Source: the Alexandria database
Functional: PBE-GGA
Structure: relaxed

Structure (POSCAR):
```
KYBW2
1.0
-4.216 0.789 -1.534
0.402 -3.859 -3.088
-1.685 -2.750 3.217
Y K B W
1 1 1 2
Direct
0.000 0.500 0.000 Y
0.000 0.000 0.000 K
0.500 0.500 0.500 B
0.000 0.000 0.500 W
0.500 0.000 0.000 W
```

## Properties
DOS at the Fermi energy = 5.484 states/eV/f.u.
Raw total energy = -22.03 eV per cell
SG = P4/mmm (123)

=====

Compound: K2ZnBW
Source: the Alexandria database
Functional: PBE-GGA
Structure: relaxed

Structure (POSCAR):
```
K2ZnBW
1.0
-3.751 -5.083 1.170
2.944 -2.375 -0.880
1.867 0.037 6.148
Zn B K W
1 1 2 1
Direct
0.000 0.000 0.000 Zn
0.000 0.500 0.000 B
0.000 0.000 0.500 K
0.500 0.000 0.000 K
0.500 0.500 0.500 W
```

## Properties
DOS at the Fermi energy = 2.622 states/eV/f.u.
Raw total energy = -14.65 eV per cell
SG = P4/mmm (123)

=====

Compound: K2Y2B
Source: the Alexandria database
Functional: PBE-GGA
Structure: relaxed

Structure (POSCAR):
```
K2Y2B
1.0
3.853 0.000 0.000
0.000 3.853 0.000
1.927 1.927 10.041
Y K B
2 2 1
Direct
0.430 0.430 0.141 Y
0.570 0.570 0.859 Y
0.750 0.250 0.500 K
0.250 0.750 0.500 K
0.000 0.000 0.000 B
```

## Properties
DOS at the Fermi energy = 6.800 states/eV/f.u.
Relative energy among the computed polymorphs = 558 meV per atom
Raw total energy = -16.20 eV per cell
SG = I4/mmm (139)

=====

Compound: KYB3
Source: the Alexandria database
Functional: PBE-GGA
Structure: relaxed

Structure (POSCAR):
```
KYB3
1.0
4.523 0.000 0.000
0.000 4.523 0.000
0.000 0.000 4.523
Y K B
1 1 3
Direct
0.500 0.500 0.500 Y
0.000 0.000 0.000 K
0.000 0.500 0.000 B
0.000 0.000 0.500 B
0.500 0.000 0.000 B
```

## Properties
DOS at the Fermi energy = 4.583 states/eV/f.u.
Relative energy among the computed polymorphs = 628 meV per atom
Raw total energy = -15.25 eV per cell
SG = Pm-3m (221)

=====

Compound: KYB3
Source: the Alexandria database
Functional: PBE-GGA
Structure: relaxed

Structure (POSCAR):
```
KYB3
1.0
4.945 0.000 0.000
0.000 4.945 0.000
0.000 0.000 4.945
Y K B
1 1 3
Direct
0.000 0.000 0.000 Y
0.500 0.500 0.500 K
0.000 0.500 0.000 B
0.000 0.000 0.500 B
0.500 0.000 0.000 B
```

## Properties
DOS at the Fermi energy = 5.121 states/eV/f.u.
Relative energy among the computed polymorphs = 0 meV per atom
Raw total energy = -18.39 eV per cell
SG = Pm-3m (221)

=====

Compound: K2Y2B
Source: the Alexandria database
Functional: PBE-GGA
Structure: relaxed

Structure (POSCAR):
```
K2Y2B
1.0
-2.801 -6.281 1.809
0.876 -2.312 -6.668
6.604 -2.451 1.717
Y K B
4 4 2
Direct
0.307 0.807 0.000 Y
0.807 0.693 0.000 Y
0.693 0.193 0.000 Y
0.193 0.307 0.000 Y
0.187 0.687 0.500 K
0.687 0.813 0.500 K
0.813 0.313 0.500 K
0.313 0.187 0.500 K
0.000 0.000 0.000 B
0.500 0.500 0.000 B
```

## Properties
DOS at the Fermi energy = 6.931 states/eV/f.u.
Relative energy among the computed polymorphs = 0 meV per atom
Raw total energy = -37.98 eV per cell
SG = P4/mbm (127)

=====

Compound: KY3B
Source: the Alexandria database
Functional: PBE-GGA
Structure: relaxed

Structure (POSCAR):
```
KY3B
1.0
-3.836 3.315 1.378
-2.679 -1.302 -4.328
-2.390 -3.863 2.641
Y K B
3 1 1
Direct
0.000 0.500 0.000 Y
0.000 0.000 0.500 Y
0.500 0.000 0.000 Y
0.000 0.000 0.000 K
0.500 0.500 0.500 B
```

## Properties
DOS at the Fermi energy = 4.884 states/eV/f.u.
Relative energy among the computed polymorphs = 1828 meV per atom
Raw total energy = -16.60 eV per cell
SG = Pm-3m (221)

=====

Compound: K3YB
Source: the Alexandria database
Functional: PBE-GGA
Structure: relaxed

Structure (POSCAR):
```
K3YB
1.0
6.082 0.000 0.000
0.000 6.082 0.000
0.000 0.000 6.082
Y K B
1 3 1
Direct
0.500 0.500 0.500 Y
0.000 0.500 0.000 K
0.000 0.000 0.500 K
0.500 0.000 0.000 K
0.000 0.000 0.000 B
```

## Properties
DOS at the Fermi energy = 6.242 states/eV/f.u.
Relative energy among the computed polymorphs = 0 meV per atom
Raw total energy = -10.26 eV per cell
SG = Pm-3m (221)